Record 1
VASP calculation (PBE) on crystalline ErHfPd5 at its relaxed geometry.

Summary:
E in eV per atom: -6.47
Density of states at the Fermi level in states/eV/f.u.: 2.76

Unit cell a=4.0562 b=4.0562 c=7.8499 alpha=90.00 beta=90.00 gamma=90.00
Fractional positions:
Er: 0.0000 0.0000 0.0000
Hf: 0.5000 0.5000 0.5000
Pd: 0.0000 0.5000 0.2737
Pd: 0.0000 0.5000 0.7263
Pd: 0.5000 0.0000 0.2737
Pd: 0.5000 0.0000 0.7263
Pd: 0.5000 0.5000 0.0000


Record 2
VASP calculation (PBE) on crystalline ErHfPd2 at its relaxed geometry.

Summary:
E in eV per atom: -6.81
Density of states at the Fermi level in states/eV/f.u.: 1.27

Unit cell a=6.8995 b=6.8995 c=6.8995 alpha=33.14 beta=33.14 gamma=33.14
Fractional positions:
Er: 0.0000 0.0000 0.0000
Hf: 0.5000 0.5000 0.5000
Pd: 0.2414 0.2414 0.2414
Pd: 0.7586 0.7586 0.7586


Record 3
VASP calculation (PBE) on crystalline ErHf2Pd9 at its relaxed geometry.

Summary:
E in eV per atom: -6.85
Density of states at the Fermi level in states/eV/f.u.: 1.59

Unit cell a=4.0381 b=4.0381 c=12.1318 alpha=90.00 beta=90.00 gamma=90.00
Fractional positions:
Er: 0.0000 0.0000 0.0000
Hf: 0.0000 0.0000 0.3330
Hf: 0.0000 0.0000 0.6670
Pd: 0.0000 0.5000 0.1743
Pd: 0.0000 0.5000 0.5000
Pd: 0.0000 0.5000 0.8257
Pd: 0.5000 0.0000 0.1743
Pd: 0.5000 0.0000 0.5000
Pd: 0.5000 0.0000 0.8257
Pd: 0.5000 0.5000 0.0000
Pd: 0.5000 0.5000 0.3371
Pd: 0.5000 0.5000 0.6629


Record 4
VASP calculation (PBE) on crystalline ErHf2Pd7 at its relaxed geometry.

Summary:
E in eV per atom: -6.70
Density of states at the Fermi level in states/eV/f.u.: 6.41

Unit cell a=9.3357 b=8.9542 c=4.8316 alpha=79.10 beta=70.36 gamma=30.54
Fractional positions:
Er: 0.0000 0.0000 0.0000
Hf: 0.3308 0.3308 0.6692
Hf: 0.6692 0.6692 0.3308
Pd: 0.0884 0.0884 0.4116
Pd: 0.2500 0.2500 0.2500
Pd: 0.4116 0.4116 0.0884
Pd: 0.5000 0.5000 0.5000
Pd: 0.5884 0.5884 0.9116
Pd: 0.7500 0.7500 0.7500
Pd: 0.9116 0.9116 0.5884


Record 5
VASP calculation (PBE) on crystalline Er2HfPd at its relaxed geometry.

Summary:
E in eV per atom: -6.44
Density of states at the Fermi level in states/eV/f.u.: 4.39

Unit cell a=3.4601 b=3.4601 c=7.8320 alpha=90.00 beta=90.00 gamma=90.00
Fractional positions:
Er: 0.0000 0.0000 0.2193
Er: 0.0000 0.0000 0.7807
Hf: 0.5000 0.5000 0.5000
Pd: 0.5000 0.5000 0.0000


Record 6
VASP calculation (PBE) on crystalline Er3HfPd12 at its relaxed geometry.

Summary:
E in eV per atom: -6.28
Density of states at the Fermi level in states/eV/f.u.: 8.71

Unit cell a=4.0809 b=4.0809 c=16.3109 alpha=90.00 beta=90.00 gamma=90.00
Fractional positions:
Er: 0.0000 0.0000 0.0000
Er: 0.0000 0.0000 0.2523
Er: 0.0000 0.0000 0.7477
Hf: 0.0000 0.0000 0.5000
Pd: 0.0000 0.5000 0.1269
Pd: 0.0000 0.5000 0.3815
Pd: 0.0000 0.5000 0.6185
Pd: 0.0000 0.5000 0.8731
Pd: 0.5000 0.0000 0.1269
Pd: 0.5000 0.0000 0.3815
Pd: 0.5000 0.0000 0.6185
Pd: 0.5000 0.0000 0.8731
Pd: 0.5000 0.5000 0.0000
Pd: 0.5000 0.5000 0.2542
Pd: 0.5000 0.5000 0.5000
Pd: 0.5000 0.5000 0.7458


Record 7
VASP calculation (PBE) on crystalline ErHfPd2 at its relaxed geometry.

Summary:
E in eV per atom: -6.99
Density of states at the Fermi level in states/eV/f.u.: 3.80

Unit cell a=3.3907 b=3.3907 c=6.9281 alpha=90.00 beta=90.00 gamma=90.00
Fractional positions:
Er: 0.0000 0.0000 0.0000
Hf: 0.0000 0.0000 0.5000
Pd: 0.5000 0.5000 0.2811
Pd: 0.5000 0.5000 0.7189


Record 8
VASP calculation (PBE) on crystalline ErHf3Pd12 at its relaxed geometry.

Summary:
E in eV per atom: -6.95
Density of states at the Fermi level in states/eV/f.u.: 2.15

Unit cell a=4.0303 b=4.0303 c=16.1498 alpha=90.00 beta=90.00 gamma=90.00
Fractional positions:
Er: 0.0000 0.0000 0.0000
Hf: 0.0000 0.0000 0.2499
Hf: 0.0000 0.0000 0.5000
Hf: 0.0000 0.0000 0.7501
Pd: 0.0000 0.5000 0.1313
Pd: 0.0000 0.5000 0.3769
Pd: 0.0000 0.5000 0.6231
Pd: 0.0000 0.5000 0.8687
Pd: 0.5000 0.0000 0.1313
Pd: 0.5000 0.0000 0.3769
Pd: 0.5000 0.0000 0.6231
Pd: 0.5000 0.0000 0.8687
Pd: 0.5000 0.5000 0.0000
Pd: 0.5000 0.5000 0.2542
Pd: 0.5000 0.5000 0.5000
Pd: 0.5000 0.5000 0.7458


Record 9
VASP calculation (PBE) on crystalline ErHfPdPt at its relaxed geometry.

Summary:
E in eV per atom: -7.36
Density of states at the Fermi level in states/eV/f.u.: 3.33

Unit cell a=4.7943 b=4.7943 c=4.7943 alpha=60.00 beta=60.00 gamma=60.00
Fractional positions:
Er: 0.0000 0.0000 0.0000
Hf: 0.5000 0.5000 0.5000
Pd: 0.2500 0.2500 0.2500
Pt: 0.7500 0.7500 0.7500


Record 10
VASP calculation (PBE) on crystalline ErHfRePd at its relaxed geometry.

Summary:
E in eV per atom: -8.46
Density of states at the Fermi level in states/eV/f.u.: 1.35

Unit cell a=4.7437 b=4.7437 c=4.7437 alpha=60.00 beta=60.00 gamma=60.00
Fractional positions:
Er: 0.0000 0.0000 0.0000
Hf: 0.5000 0.5000 0.5000
Re: 0.2500 0.2500 0.2500
Pd: 0.7500 0.7500 0.7500


Record 11
VASP calculation (PBE) on crystalline ErHfPdRu at its relaxed geometry.

Summary:
E in eV per atom: -7.92
Density of states at the Fermi level in states/eV/f.u.: 1.42

Unit cell a=4.7365 b=4.7365 c=4.7365 alpha=60.00 beta=60.00 gamma=60.00
Fractional positions:
Er: 0.0000 0.0000 0.0000
Hf: 0.5000 0.5000 0.5000
Pd: 0.2500 0.2500 0.2500
Ru: 0.7500 0.7500 0.7500


Record 12
VASP calculation (PBE) on crystalline PmErHf2 at its relaxed geometry.

Summary:
E in eV per atom: -7.08
Density of states at the Fermi level in states/eV/f.u.: 5.71

Unit cell a=11.1432 b=11.1432 c=11.1432 alpha=17.15 beta=17.15 gamma=17.15
Fractional positions:
Pm: 0.0000 0.0000 0.0000
Er: 0.5000 0.5000 0.5000
Hf: 0.2488 0.2488 0.2488
Hf: 0.7512 0.7512 0.7512


Record 13
VASP calculation (PBE) on crystalline PmErHf at its relaxed geometry.

Summary:
Polymorph energy (0 for the lowest one) in meV/atom: 0
Density of states at the Fermi level in states/eV/f.u.: 4.26

Unit cell a=3.4081 b=4.6854 c=10.5978 alpha=90.00 beta=90.52 gamma=90.00
Fractional positions:
Pm: 0.2486 0.2500 0.4068
Pm: 0.7514 0.7500 0.5932
Er: 0.2511 0.2500 0.7742
Er: 0.7489 0.7500 0.2258
Hf: 0.2489 0.2500 0.0682
Hf: 0.7511 0.7500 0.9318


Record 14
VASP calculation (PBE) on crystalline PmErHf at its relaxed geometry.

Summary:
Polymorph energy (0 for the lowest one) in meV/atom: 85
Density of states at the Fermi level in states/eV/f.u.: 6.34

Unit cell a=5.3733 b=5.3733 c=3.3619 alpha=90.00 beta=90.00 gamma=120.00
Fractional positions:
Pm: 0.0000 0.0000 0.0000
Er: 0.6667 0.3333 0.5000
Hf: 0.3333 0.6667 0.0000


Record 15
VASP calculation (PBE) on crystalline PmErHf at its relaxed geometry.

Summary:
Polymorph energy (0 for the lowest one) in meV/atom: 3
Density of states at the Fermi level in states/eV/f.u.: 4.38

Unit cell a=7.9163 b=7.9163 c=7.9163 alpha=155.50 beta=155.50 gamma=34.92
Fractional positions:
Pm: 0.0000 0.0000 0.0000
Er: 0.3095 0.3095 0.0000
Hf: 0.6607 0.6607 0.0000


Record 16
VASP calculation (PBE) on crystalline PmErHf at its relaxed geometry.

Summary:
Polymorph energy (0 for the lowest one) in meV/atom: 28
Density of states at the Fermi level in states/eV/f.u.: 5.30

Unit cell a=3.4391 b=3.4391 c=16.7048 alpha=90.00 beta=90.00 gamma=120.00
Fractional positions:
Pm: 0.0000 0.0000 0.1829
Pm: 0.0000 0.0000 0.8171
Er: 0.0000 0.0000 0.5000
Er: 0.3333 0.6667 0.0000
Hf: 0.3333 0.6667 0.3431
Hf: 0.3333 0.6667 0.6569


Record 17
VASP calculation (PBE) on crystalline PrErHf at its relaxed geometry.

Summary:
Polymorph energy (0 for the lowest one) in meV/atom: 109
Density of states at the Fermi level in states/eV/f.u.: 4.59

Unit cell a=4.6933 b=4.6933 c=8.3350 alpha=90.00 beta=90.00 gamma=90.00
Fractional positions:
Pr: 0.2500 0.2500 0.2038
Pr: 0.7500 0.7500 0.7962
Er: 0.2500 0.2500 0.7721
Er: 0.7500 0.7500 0.2279
Hf: 0.2500 0.7500 0.5000
Hf: 0.7500 0.2500 0.5000


Record 18
VASP calculation (PBE) on crystalline PrErHf at its relaxed geometry.

Summary:
Polymorph energy (0 for the lowest one) in meV/atom: 22
Density of states at the Fermi level in states/eV/f.u.: 4.01

Unit cell a=3.3916 b=4.6346 c=11.1320 alpha=90.00 beta=98.54 gamma=90.00
Fractional positions:
Pr: 0.0582 0.2500 0.1048
Pr: 0.9418 0.7500 0.8952
Er: 0.3570 0.2500 0.7181
Er: 0.6430 0.7500 0.2819
Hf: 0.2191 0.2500 0.4351
Hf: 0.7809 0.7500 0.5649


Record 19
VASP calculation (PBE) on crystalline PrErHf at its relaxed geometry.

Summary:
Polymorph energy (0 for the lowest one) in meV/atom: 0
Density of states at the Fermi level in states/eV/f.u.: 4.40

Unit cell a=8.0309 b=8.0309 c=8.0309 alpha=155.81 beta=155.81 gamma=34.48
Fractional positions:
Pr: 0.0000 0.0000 0.0000
Er: 0.3088 0.3088 0.0000
Hf: 0.6636 0.6636 0.0000


Record 20
VASP calculation (PBE) on crystalline PrErHf at its relaxed geometry.

Summary:
Polymorph energy (0 for the lowest one) in meV/atom: 18
Density of states at the Fermi level in states/eV/f.u.: 3.49

Unit cell a=3.4226 b=3.4226 c=8.5064 alpha=90.00 beta=90.00 gamma=120.00
Fractional positions:
Pr: 0.0000 0.0000 0.0000
Er: 0.3333 0.6667 0.6227
Hf: 0.6667 0.3333 0.3189


Record 21
VASP calculation (PBE) on crystalline PrErHfSc at its relaxed geometry.

Summary:
E in eV per atom: -6.15
Density of states at the Fermi level in states/eV/f.u.: 7.63

Unit cell a=5.3796 b=5.3796 c=5.3796 alpha=60.00 beta=60.00 gamma=60.00
Fractional positions:
Pr: 0.0000 0.0000 0.0000
Er: 0.7500 0.7500 0.7500
Hf: 0.5000 0.5000 0.5000
Sc: 0.2500 0.2500 0.2500


Record 22
VASP calculation (PBE) on crystalline PrErHfTh at its relaxed geometry.

Summary:
E in eV per atom: -6.47
Density of states at the Fermi level in states/eV/f.u.: 4.80

Unit cell a=5.5038 b=5.5038 c=5.5038 alpha=60.00 beta=60.00 gamma=60.00
Fractional positions:
Pr: 0.0000 0.0000 0.0000
Er: 0.7500 0.7500 0.7500
Hf: 0.2500 0.2500 0.2500
Th: 0.5000 0.5000 0.5000


Record 23
VASP calculation (PBE) on crystalline ErHfPt at its relaxed geometry.

Summary:
Polymorph energy (0 for the lowest one) in meV/atom: 0
Density of states at the Fermi level in states/eV/f.u.: 1.75

Unit cell a=4.6670 b=7.0510 c=7.0510 alpha=120.14 beta=90.00 gamma=90.00
Fractional positions:
Er: 0.0000 0.0000 0.0000
Er: 0.0000 0.4137 0.8269
Er: 0.0000 0.8269 0.4137
Hf: 0.5000 0.1594 0.4130
Hf: 0.5000 0.4130 0.1594
Hf: 0.5000 0.6672 0.6672
Pt: 0.0000 0.4140 0.4140
Pt: 0.5000 0.0797 0.7459
Pt: 0.5000 0.7459 0.0797


Record 24
VASP calculation (PBE) on crystalline Er2HfPt9 at its relaxed geometry.

Summary:
E in eV per atom: -7.22
Density of states at the Fermi level in states/eV/f.u.: 8.07

Unit cell a=4.0760 b=4.0760 c=12.2317 alpha=90.00 beta=90.00 gamma=90.00
Fractional positions:
Er: 0.0000 0.0000 0.1668
Er: 0.0000 0.0000 0.8332
Hf: 0.0000 0.0000 0.5000
Pt: 0.0000 0.5000 0.0000
Pt: 0.0000 0.5000 0.3398
Pt: 0.0000 0.5000 0.6602
Pt: 0.5000 0.0000 0.0000
Pt: 0.5000 0.0000 0.3398
Pt: 0.5000 0.0000 0.6602
Pt: 0.5000 0.5000 0.1699
Pt: 0.5000 0.5000 0.5000
Pt: 0.5000 0.5000 0.8301


Record 25
VASP calculation (PBE) on crystalline ErHf3Pt12 at its relaxed geometry.

Summary:
E in eV per atom: -7.80
Density of states at the Fermi level in states/eV/f.u.: 2.57

Unit cell a=4.0440 b=4.0440 c=16.2394 alpha=90.00 beta=90.00 gamma=90.00
Fractional positions:
Er: 0.0000 0.0000 0.0000
Hf: 0.0000 0.0000 0.2503
Hf: 0.0000 0.0000 0.5000
Hf: 0.0000 0.0000 0.7497
Pt: 0.0000 0.5000 0.1307
Pt: 0.0000 0.5000 0.3768
Pt: 0.0000 0.5000 0.6232
Pt: 0.0000 0.5000 0.8693
Pt: 0.5000 0.0000 0.1307
Pt: 0.5000 0.0000 0.3768
Pt: 0.5000 0.0000 0.6232
Pt: 0.5000 0.0000 0.8693
Pt: 0.5000 0.5000 0.0000
Pt: 0.5000 0.5000 0.2538
Pt: 0.5000 0.5000 0.5000
Pt: 0.5000 0.5000 0.7462


Record 26
VASP calculation (PBE) on crystalline Er2HfPt at its relaxed geometry.

Summary:
E in eV per atom: -6.82
Density of states at the Fermi level in states/eV/f.u.: 4.29

Unit cell a=3.4691 b=3.4691 c=7.7651 alpha=90.00 beta=90.00 gamma=90.00
Fractional positions:
Er: 0.0000 0.0000 0.2163
Er: 0.0000 0.0000 0.7837
Hf: 0.5000 0.5000 0.5000
Pt: 0.5000 0.5000 0.0000